No. 1
A relaxed structure of AgHgBiPb, computed with PBE.

```
4
Lattice="0.0000 3.7519 3.7519 3.7519 0.0000 3.7519 3.7519 3.7519 0.0000" Properties=species:S:1:pos:R:3 pbc="T T T"
Ag 0.0000 0.0000 0.0000
Hg 3.7519 3.7519 3.7519
Bi 1.8760 1.8760 1.8760
Pb 5.6279 5.6279 5.6279
```

Properties
**DOS at the Fermi energy**: 1.18 states/eV/f.u.
**Energy of formation**: 0.10 eV per atom
**Spin magnetization**: 0.00 μB per formula unit

No. 2
A relaxed structure of PrAgHgBi, computed with PBE.

```
4
Lattice="0.0000 3.7719 3.7719 3.7719 0.0000 3.7719 3.7719 3.7719 0.0000" Properties=species:S:1:pos:R:3 pbc="T T T"
Pr 0.0000 0.0000 0.0000
Ag 3.7719 3.7719 3.7719
Hg 5.6578 5.6578 5.6578
Bi 1.8859 1.8859 1.8859
```

Properties
**DOS at the Fermi energy**: 3.54 states/eV/f.u.
**Energy of formation**: -0.30 eV per atom
**Spin magnetization**: 0.00 μB per formula unit

No. 3
A relaxed structure of PuAgHgBi, computed with PBE.

```
4
Lattice="0.0000 3.7082 3.7082 3.7082 0.0000 3.7082 3.7082 3.7082 0.0000" Properties=species:S:1:pos:R:3 pbc="T T T"
Pu 0.0000 0.0000 0.0000
Ag 3.7082 3.7082 3.7082
Hg 5.5623 5.5623 5.5623
Bi 1.8541 1.8541 1.8541
```

Properties
**DOS at the Fermi energy**: 13.42 states/eV/f.u.
**Energy of formation**: -0.14 eV per atom
**Spin magnetization**: 5.91 μB per formula unit

No. 4
A relaxed structure of AgHgBi2Rh, computed with PBE.

```
5
Lattice="5.3973 0.0000 0.0000 0.0000 5.3973 0.0000 0.0000 0.0000 5.1107" Properties=species:S:1:pos:R:3 pbc="T T T"
Ag 0.0000 0.0000 0.0000
Hg 0.0000 0.0000 2.5554
Bi 0.0000 2.6987 0.0000
Bi 2.6987 0.0000 0.0000
Rh 2.6987 2.6987 2.5554
```

Properties
**DOS at the Fermi energy**: 4.15 states/eV/f.u.
**Energy of formation**: 0.95 eV per atom
**Spin magnetization**: 0.00 μB per formula unit

No. 5
A relaxed structure of AgHg2BiS4, computed with PBE.

```
8
Lattice="-3.0209 3.0209 6.1083 3.0209 -3.0209 6.1083 3.0209 3.0209 -6.1083" Properties=species:S:1:pos:R:3 pbc="T T T"
Ag 0.0000 0.0000 0.0000
Hg 3.0209 0.0000 3.0542
Hg 0.0000 3.0209 3.0542
Bi 0.0000 0.0000 6.1083
S 1.5779 -1.5779 4.5484
S 1.4429 1.4429 1.5599
S -1.5779 1.5779 4.5484
S 1.5779 1.5779 7.6682
```

Properties
**Uncorrected formation energy**: -0.13 eV/atom
**Spin magnetization**: 0.00 μB per formula unit

No. 6
A relaxed structure of Ag2HgBiS4, computed with PBE.

```
16
Lattice="5.5659 -5.5943 0.0000 5.5659 5.5943 0.0000 -5.5491 0.0000 5.6629" Properties=species:S:1:pos:R:3 pbc="T T T"
Ag 0.0000 0.0000 0.0000
Ag -2.7745 0.0000 2.8315
Ag 2.7829 2.7971 0.0000
Ag 0.0084 -2.7971 2.8315
Hg 0.0084 2.7971 2.8315
Hg 2.7829 -2.7971 0.0000
Bi 5.5659 0.0000 0.0000
Bi 2.7913 0.0000 2.8315
S -0.1990 2.8460 5.2824
S 2.7237 0.2748 0.0013
S -0.0508 -0.2748 2.8327
S 3.0071 2.8460 3.2120
S 2.5756 -2.8460 2.4509
S 5.6334 0.2748 2.8302
S 2.8589 -0.2748 5.6617
S 5.7816 -2.8460 0.3805
```

Properties
**DOS at the Fermi energy**: 4.18 states/eV/f.u.
**Uncorrected formation energy**: -0.10 eV/atom
**Spin magnetization**: 0.00 μB per formula unit

No. 7
A relaxed structure of AgHgBiSb, computed with PBE.

```
4
Lattice="0.0000 3.7376 3.7376 3.7376 0.0000 3.7376 3.7376 3.7376 0.0000" Properties=species:S:1:pos:R:3 pbc="T T T"
Ag 0.0000 0.0000 0.0000
Hg 1.8688 1.8688 1.8688
Bi 3.7376 3.7376 3.7376
Sb 5.6064 5.6064 5.6064
```

Properties
**DOS at the Fermi energy**: 2.48 states/eV/f.u.
**Uncorrected formation energy**: 0.21 eV/atom
**Spin magnetization**: 0.00 μB per formula unit

No. 8
A relaxed structure of ScAgHgBi, computed with PBE.

```
4
Lattice="0.0000 3.5998 3.5998 3.5998 0.0000 3.5998 3.5998 3.5998 0.0000" Properties=species:S:1:pos:R:3 pbc="T T T"
Sc 0.0000 0.0000 0.0000
Ag 3.5998 3.5998 3.5998
Hg 5.3997 5.3997 5.3997
Bi 1.7999 1.7999 1.7999
```

Properties
**DOS at the Fermi energy**: 4.89 states/eV/f.u.
**Energy of formation**: -0.14 eV per atom
**Spin magnetization**: 0.00 μB per formula unit

No. 9
A relaxed structure of Ag2HgBiSe4, computed with PBE.

```
16
Lattice="5.8066 -5.8117 0.0000 5.8066 5.8117 0.0000 -5.7731 0.0000 5.8507" Properties=species:S:1:pos:R:3 pbc="T T T"
Ag 0.0000 0.0000 0.0000
Ag -2.8865 0.0000 2.9253
Ag 2.9033 2.9059 0.0000
Ag 0.0167 -2.9059 2.9253
Hg 0.0167 2.9059 2.9253
Hg 2.9033 -2.9059 0.0000
Bi 5.8066 0.0000 0.0000
Bi 2.9200 0.0000 2.9253
Se -0.1732 2.9783 5.5201
Se -2.9348 0.2645 5.8170
Se -0.0482 -0.2645 2.8916
Se 3.1267 2.9783 3.2559
Se 2.7134 -2.9783 2.5948
Se 5.8883 0.2645 2.9591
Se 8.7748 -0.2645 0.0337
Se 6.0132 -2.9783 0.3306
```

Properties
**DOS at the Fermi energy**: 3.86 states/eV/f.u.
**Uncorrected formation energy**: -0.16 eV/atom
**Spin magnetization**: 0.00 μB per formula unit

No. 10
A relaxed structure of SrAgHgBi, computed with PBE.

```
4
Lattice="0.0000 3.8214 3.8214 3.8214 0.0000 3.8214 3.8214 3.8214 0.0000" Properties=species:S:1:pos:R:3 pbc="T T T"
Sr 0.0000 0.0000 0.0000
Ag 5.7321 5.7321 5.7321
Hg 1.9107 1.9107 1.9107
Bi 3.8214 3.8214 3.8214
```

Properties
**DOS at the Fermi energy**: 1.42 states/eV/f.u.
**Energy of formation**: -0.36 eV per atom
**Spin magnetization**: 0.00 μB per formula unit

No. 11
A relaxed structure of SrAg2HgBi, computed with PBE.

```
5
Lattice="5.6526 0.0000 0.0000 0.0000 5.6526 0.0000 0.0000 0.0000 5.8335" Properties=species:S:1:pos:R:3 pbc="T T T"
Sr 0.0000 0.0000 0.0000
Ag 0.0000 2.8263 0.0000
Ag 2.8263 0.0000 0.0000
Hg 0.0000 0.0000 2.9168
Bi 2.8263 2.8263 2.9168
```

Properties
**DOS at the Fermi energy**: 4.02 states/eV/f.u.
**Energy of formation**: 0.74 eV per atom
**Spin magnetization**: 0.00 μB per formula unit

No. 12
A relaxed structure of Sr2Ag3HgBi4, computed with PBE.

```
10
Lattice="4.9344 0.0000 0.0000 0.0000 4.9344 0.0000 0.0000 0.0000 12.3847" Properties=species:S:1:pos:R:3 pbc="T T T"
Sr 0.0000 2.4672 3.0994
Sr 2.4672 0.0000 9.2852
Ag 0.0000 0.0000 0.0000
Ag 0.0000 2.4672 7.8627
Ag 2.4672 0.0000 4.5219
Hg 2.4672 2.4672 0.0000
Bi 0.0000 0.0000 6.1923
Bi 0.0000 2.4672 10.6466
Bi 2.4672 0.0000 1.7381
Bi 2.4672 2.4672 6.1923
```

Properties
**DOS at the Fermi energy**: 3.94 states/eV/f.u.
**Energy of formation**: -0.30 eV per atom
**Spin magnetization**: 0.00 μB per formula unit